DFT (PBE) results for Na3Li4 after structural relaxation.

Computed properties:
electronic total energy: -22.73 eV for the cell shown

Cell: 3.5886 3.5886 29.4352 Å, 90.00 90.00 90.00°
Space group I4/mmm (No. 139)
Unique sites:
Na 0.0000 0.0000 0.0000 (multiplicity 2)
Na 0.0000 0.0000 0.2980 (multiplicity 4)
Li 0.0000 0.0000 0.1282 (multiplicity 4)
Li 0.0000 0.0000 0.4249 (multiplicity 4)

=====

DFT (PBE) results for BaZn2Sb after structural relaxation.

Computed properties:
electronic total energy: -19.32 eV for the cell shown
formation energy from raw total energies: -0.267 eV/atom

Cell: 4.4737 6.7247 8.1460 Å, 90.00 90.00 90.00°
Space group Imm2 (No. 44)
Unique sites:
Ba 0.0000 0.0000 0.0000 (multiplicity 2)
Zn 0.0000 0.0000 0.4746 (multiplicity 2)
Zn 0.0000 0.5000 0.8130 (multiplicity 2)
Sb 0.0000 0.5000 0.1719 (multiplicity 2)

=====

- Which value of electronic total energy does entry 1 give?
  -22.73 eV for the cell shown

=====

- Which value of electronic total energy does entry 1 give?
  -22.73 eV for the cell shown